Here is a geometry-optimized Cs2PdAuCl structure from Alexandria. Energies are from PBE.

abc: 6.796 6.796 5.113
angles: 90.00 90.00 90.00
Space group P4/mmm (No. 123)
One atom of each set of equivalent atoms:
Cs 0.000 0.500 0.000 [2 per cell]
Pd 0.000 0.000 0.500 [1 per cell]
Au 0.000 0.000 0.000 [1 per cell]
Cl 0.500 0.500 0.500 [1 per cell]

Calculated values
**DOS at the Fermi energy**: 3.65 states/eV/cell
**Mass density**: 4.3 g cm⁻³
**Energy relative to the elements, uncorrected**: -0.47 eV per atom

Here is a geometry-optimized Tm2ZrOs structure from Alexandria. Energies are from PBE.

abc: 3.2169 3.2169 31.7389
angles: 90.00 90.00 120.00
Space group R-3m (No. 166, hexagonal axes)
One atom of each set of equivalent atoms:
Tm 0.0000 0.0000 0.1004 [6 per cell]
Zr 0.0000 0.0000 0.0000 [3 per cell]
Os 0.0000 0.0000 0.5000 [3 per cell]

Calculated values
**DOS at the Fermi energy**: 13.49 states/eV/cell
**Mass density**: 10.8 g cm⁻³
**Formation energy from the elements**: 0.298 eV/atom

Here is a geometry-optimized NdZn2CuPd4 structure from Alexandria. Energies are from PBE.

abc: 4.3564 4.3564 24.9627
angles: 90.00 90.00 120.00
Space group R-3m (No. 166, hexagonal axes)
One atom of each set of equivalent atoms:
Nd 0.0000 0.0000 0.0000 [3 per cell]
Zn 0.0000 0.0000 0.2364 [6 per cell]
Cu 0.0000 0.0000 0.5000 [3 per cell]
Pd 0.0000 0.0000 0.1281 [6 per cell]
Pd 0.0000 0.0000 0.3990 [6 per cell]

Calculated values
**DOS at the Fermi energy**: 10.01 states/eV/cell
**Mass density**: 9.3 g cm⁻³
**Formation energy from the elements**: -0.515 eV/atom

Here is a geometry-optimized Cs2SrI6N structure from Alexandria. Energies are from PBE.

abc: 8.175 8.175 13.976
angles: 90.00 90.00 90.00
Space group I4/mmm (No. 139)
One atom of each set of equivalent atoms:
Cs 0.000 0.500 0.250 [4 per cell]
Sr 0.000 0.000 0.000 [2 per cell]
I 0.000 0.000 0.228 [4 per cell]
I 0.216 0.216 0.500 [8 per cell]
N 0.000 0.000 0.500 [2 per cell]

Calculated values
**DOS at the Fermi energy**: 0.00 states/eV/cell
**Mass density**: 4.0 g cm⁻³
**Energy relative to the elements, uncorrected**: -0.61 eV per atom